# 1
Entry from the Alexandria database: crystalline Pr2YO at its relaxed geometry (PBE).

Structure (extended XYZ):
```
4
Lattice="3.677 0.000 0.000 1.838 3.184 0.000 1.838 1.061 9.363" Properties=species:S:1:pos:R:3 pbc="T T T"
Pr 1.838 1.061 6.044
Pr 5.515 3.184 3.319
Y 0.000 0.000 0.000
O 3.677 2.123 4.681
```

---

# 2
Entry from the Alexandria database: crystalline PrYO at its relaxed geometry (PBE).

Structure (extended XYZ):
```
3
Lattice="3.604 0.000 0.000 -1.802 3.122 0.000 0.000 0.000 6.064" Properties=species:S:1:pos:R:3 pbc="T T T"
Pr 0.000 0.000 0.540
Y 0.000 2.081 3.339
O 1.802 1.041 2.185
```

---

no.,raw total energy (eV per atom),total magnetic moment (Bohr magnetons per cell),formation energy without anion corrections (meV per atom)
1,-6.356,0.00,-1111
2,-7.135,0.02,-1735